Below is a relaxed structure of Al2TlV2, with properties calculated at the PBE level.

The structure belongs to space group P4/mbm (No. 127); the cell edges are 7.238, 7.238 and 3.220 Å and the angles 90.00°, 90.00° and 90.00°. The distinct sites, in fractional coordinates, are Al at (0.124, 0.376, 0.000), Tl at (0.000, 0.000, 0.000) and V at (0.171, 0.671, 0.500).

As for the density of states at the Fermi level: 7.715 states/eV/cell. The energy relative to the lowest polymorph listed for this composition comes out at 0.41 eV/f.u. The value obtained for the magnetization is 7.0 Bohr magnetons per cell. The total energy is -0.1969 Ha/atom.